This record from the Alexandria database describes a relaxed AgWSeF2 crystal. The functional is GGA+U.

```
AgWSeF2
1.0
4.1979 0.0000 0.0000
0.0000 4.1979 0.0000
0.0000 0.0000 5.5931
Ag W Se F
1 1 1 2
Cartesian
0.0000 0.0000 0.0000
2.0990 2.0990 0.0000
0.0000 0.0000 2.7966
0.0000 2.0990 2.7966
2.0990 0.0000 2.7966
```

Computed properties:
Calculated total energy ... -3.2668 eV/atom
Mass density ... 6.885 g/cm³
Magnetic moment ... 4.5 μB/f.u.
Symmetry ... P4/mmm
Crystal system ... tetragonal